PaSb12Ru4 | PBE | relaxed

The space group is Im-3 (No. 204) and the conventional cell measures 9.3576, 9.3576 and 9.3576 Å, with angles of 90.00, 90.00 and 90.00 degrees. The inequivalent atoms are Pa at (0.0000, 0.0000, 0.0000), Sb at (0.0000, 0.3370, 0.1573) and Ru at (0.2500, 0.2500, 0.2500).

As for the total energy: -5.91 eV/atom. As for the formation energy from raw total energies: -0.2544 eV per atom. The value obtained for the total magnetic moment is 0.061 μB/atom.